Record 1
## Er3WC3 (PBE)

Data for an optimized crystal structure of Er3WC3.

Geometry as POSCAR:
```
Er3WC3
1.0
4.3970 -5.2265 0.0000
4.3970 5.2265 0.0000
0.0000 0.0000 5.0947
Er W C
6 2 6
Cartesian
4.3970 4.0745 3.8210 Er
2.4824 1.2148 3.8210 Er
2.4824 -1.2148 1.2737 Er
6.3116 1.2148 3.8210 Er
6.3116 -1.2148 1.2737 Er
4.3970 -4.0745 1.2737 Er
4.3970 1.9769 1.2737 W
4.3970 -1.9769 3.8210 W
4.3970 3.9410 1.2737 C
2.5478 1.2463 1.2737 C
2.5478 -1.2463 3.8210 C
6.2463 1.2463 1.2737 C
6.2463 -1.2463 3.8210 C
4.3970 -3.9410 3.8210 C
```

The value obtained for the formation energy is -244 kJ/mol of formula units. As for the calculated volume: 16.73 A^3/atom. Its density of states at the Fermi level is 0.56 states/eV per atom. Its space group is No. 63.

---

Record 2
## Er2WC3 (PBE)

Data for an optimized crystal structure of Er2WC3.

Geometry as POSCAR:
```
Er2WC3
1.0
4.9240 -3.1168 0.0000
4.9240 3.1168 0.0000
0.0000 0.0000 5.6275
Er W C
4 2 6
Cartesian
1.6514 0.9875 0.0000 Er
1.6514 -0.9875 2.8138 Er
8.1966 0.9875 0.0000 Er
8.1966 -0.9875 2.8138 Er
4.9240 0.6469 0.3358 W
4.9240 -0.6469 3.1496 W
4.9240 2.4961 0.8765 C
3.4232 0.0933 4.3146 C
3.4232 -0.0933 1.5008 C
6.4248 0.0933 4.3146 C
6.4248 -0.0933 1.5008 C
4.9240 -2.4961 3.6903 C
```

The value obtained for the formation energy is -116 kJ/mol of formula units. As for the calculated volume: 14.39 A^3/atom. Its density of states at the Fermi level is 0.12 states/eV per atom. Its space group is No. 36.

---

Record 3
## ErWC2 (PBE)

Data for an optimized crystal structure of ErWC2.

Geometry as POSCAR:
```
ErWC2
1.0
3.1764 0.0000 0.0000
-1.5882 2.7509 0.0000
0.0000 0.0000 17.2683
Er W C
3 3 6
Cartesian
0.0000 0.0000 0.0000 Er
0.0000 1.8339 11.5122 Er
1.5882 0.9170 5.7561 Er
0.0000 0.0000 14.2340 W
0.0000 1.8339 8.4779 W
1.5882 0.9170 2.7218 W
0.0000 0.0000 4.0003 C
0.0000 0.0000 7.3150 C
0.0000 1.8339 1.5589 C
0.0000 1.8339 15.5126 C
1.5882 0.9170 9.7565 C
1.5882 0.9170 13.0712 C
```

The value obtained for the formation energy is -11 kJ/mol of formula units. As for the calculated volume: 12.57 A^3/atom. The polymorph energy (0 for the lowest one) is 1.131 eV/f.u. Its density of states at the Fermi level is 0.46 states/eV per atom. Its space group is No. 160.

---

Record 4
## ErWC2 (PBE)

Data for an optimized crystal structure of ErWC2.

Geometry as POSCAR:
```
ErWC2
1.0
5.6980 0.0000 0.0000
0.0000 3.3535 0.0000
0.0000 0.0000 10.7801
Er W C
4 4 8
Cartesian
0.4892 0.8384 1.4789 Er
2.3598 2.5151 6.8689 Er
3.3382 0.8384 3.9112 Er
5.2088 2.5151 9.3012 Er
0.5584 2.5151 4.2027 W
2.2906 0.8384 9.5927 W
3.4074 2.5151 1.1874 W
5.1396 0.8384 6.5774 W
0.9090 0.8384 8.1172 C
1.2947 0.8384 5.2382 C
1.5543 2.5151 10.6283 C
1.9400 2.5151 2.7272 C
3.7580 0.8384 8.0529 C
4.1437 0.8384 0.1518 C
4.4033 2.5151 5.5419 C
4.7890 2.5151 2.6629 C
```

The value obtained for the formation energy is -120 kJ/mol of formula units. As for the calculated volume: 12.87 A^3/atom. The polymorph energy (0 for the lowest one) is 0.000 eV/f.u. Its density of states at the Fermi level is 0.33 states/eV per atom. Its space group is No. 62.

---

Record 5
## ErWC2 (PBE)

Data for an optimized crystal structure of ErWC2.

Geometry as POSCAR:
```
ErWC2
1.0
3.2188 0.0000 0.0000
-1.6094 2.7876 0.0000
0.0000 0.0000 16.5226
Er W C
3 3 6
Cartesian
0.0000 0.0000 0.0000 Er
0.0000 1.8584 11.0151 Er
1.6094 0.9292 5.5075 Er
0.0000 0.0000 8.2613 W
0.0000 1.8584 2.7538 W
1.6094 0.9292 13.7688 W
0.0000 0.0000 3.9494 C
0.0000 0.0000 12.5732 C
0.0000 1.8584 7.0657 C
0.0000 1.8584 14.9645 C
1.6094 0.9292 1.5581 C
1.6094 0.9292 9.4569 C
```

The value obtained for the formation energy is -86 kJ/mol of formula units. As for the calculated volume: 12.35 A^3/atom. The polymorph energy (0 for the lowest one) is 0.360 eV/f.u. Its density of states at the Fermi level is 0.37 states/eV per atom. Its space group is No. 166.

---

Record 6
## ErZr2WC4 (PBE)

Data for an optimized crystal structure of ErZr2WC4.

Geometry as POSCAR:
```
ErZr2WC4
1.0
1.6662 -5.8324 0.0000
1.6662 5.8324 0.0000
0.0000 0.0000 11.7828
Er Zr W C
2 4 2 8
Cartesian
1.6662 4.4723 8.8371 Er
1.6662 -4.4723 2.9457 Er
1.6662 1.5294 6.2916 Zr
1.6662 1.5294 11.3826 Zr
1.6662 -1.5294 0.4002 Zr
1.6662 -1.5294 5.4912 Zr
1.6662 4.0831 2.9457 W
1.6662 -4.0831 8.8371 W
0.0000 0.0000 0.0000 C
0.0000 0.0000 5.8914 C
1.6662 2.8280 1.4251 C
1.6662 2.8280 4.4663 C
1.6662 0.5604 8.8371 C
1.6662 -0.5604 2.9457 C
1.6662 -2.8280 7.3165 C
1.6662 -2.8280 10.3577 C
```

The value obtained for the formation energy is -241 kJ/mol of formula units. As for the calculated volume: 14.31 A^3/atom. Its density of states at the Fermi level is 0.41 states/eV per atom. Its space group is No. 63.

---

Record 7
## Y3ErC8 (PBE)

Data for an optimized crystal structure of Y3ErC8.

Geometry as POSCAR:
```
Y3ErC8
1.0
0.0000 4.7738 4.0056
4.7722 0.0000 4.0056
4.7722 4.7738 0.0000
Y Er C
3 1 8
Cartesian
0.0000 0.0000 0.0000 Y
2.3861 2.3869 1.9982 Y
7.1583 7.1606 6.0038 Y
4.7722 4.7738 4.0087 Er
4.7722 3.2472 2.0176 C
4.7722 2.4238 3.0266 C
7.1341 4.7738 4.9892 C
4.7722 6.3003 2.0176 C
6.3010 4.7738 5.9894 C
4.7722 7.1237 3.0266 C
2.4103 4.7738 4.9892 C
3.2434 4.7738 5.9894 C
```

The value obtained for the formation energy is 153 kJ/mol of formula units. As for the calculated volume: 15.21 A^3/atom. Its density of states at the Fermi level is 0.60 states/eV per atom. Its space group is No. 42.

---

Record 8
## Y2ErC2 (PBE)

Data for an optimized crystal structure of Y2ErC2.

Geometry as POSCAR:
```
Y2ErC2
1.0
5.7530 -2.5454 0.0000
5.7530 2.5454 0.0000
-2.4913 0.0000 6.8659
Y Er C
4 2 4
Cartesian
-0.4856 0.0000 1.5804 Y
1.5610 0.0000 6.3868 Y
7.4537 0.0000 0.4791 Y
9.5003 0.0000 5.2854 Y
2.9747 0.0000 2.7691 Er
6.0400 0.0000 4.0968 Er
1.7211 0.0000 0.6293 C
3.8885 0.0000 5.0485 C
5.1262 0.0000 1.8174 C
7.2936 0.0000 6.2366 C
```

The value obtained for the formation energy is -112 kJ/mol of formula units. As for the calculated volume: 20.11 A^3/atom. Its density of states at the Fermi level is 0.39 states/eV per atom. Its space group is No. 12.

---

Record 9
## YEr2C3 (PBE)

Data for an optimized crystal structure of YEr2C3.

Geometry as POSCAR:
```
YEr2C3
1.0
-2.8182 5.0504 3.7535
2.8182 -5.0504 3.7535
2.8182 5.0504 -3.7535
Y Er C
2 4 6
Cartesian
0.0000 2.5252 0.2183 Y
2.8182 2.5252 3.5352 Y
2.8182 -0.7507 1.2691 Er
2.8182 4.2998 -1.2691 Er
0.0000 0.7507 5.0225 Er
0.0000 5.8011 2.4844 Er
1.4091 2.5252 -1.8767 C
0.6876 0.0000 0.0000 C
1.4091 -2.5252 1.8767 C
4.9489 0.0000 0.0000 C
0.6876 5.0504 0.0000 C
2.1306 0.0000 3.7535 C
```

The value obtained for the formation energy is -49 kJ/mol of formula units. As for the calculated volume: 17.81 A^3/atom. Its density of states at the Fermi level is 0.45 states/eV per atom. Its space group is No. 74.

---

Record 10
## Y2ErC (PBE)

Data for an optimized crystal structure of Y2ErC.

Geometry as POSCAR:
```
Y2ErC
1.0
3.5488 0.0000 0.0000
-1.7744 3.0734 0.0000
0.0000 0.0000 28.7479
Y Er C
6 3 3
Cartesian
0.0000 0.0000 3.4444 Y
0.0000 0.0000 25.3035 Y
0.0000 2.0489 15.7209 Y
0.0000 2.0489 22.6097 Y
1.7744 1.0245 6.1382 Y
1.7744 1.0245 13.0271 Y
0.0000 0.0000 0.0000 Er
0.0000 2.0489 19.1653 Er
1.7744 1.0245 9.5826 Er
0.0000 0.0000 14.3740 C
0.0000 2.0489 4.7913 C
1.7744 1.0245 23.9566 C
```

The value obtained for the formation energy is -25 kJ/mol of formula units. As for the calculated volume: 26.13 A^3/atom. Its density of states at the Fermi level is 1.14 states/eV per atom. Its space group is No. 166.

---

Record 11
## YEr3C2 (PBE)

Data for an optimized crystal structure of YEr3C2.

Geometry as POSCAR:
```
YEr3C2
1.0
6.1886 -3.5748 0.0000
6.1886 3.5748 0.0000
-4.1392 0.0000 6.0673
Y Er C
2 6 4
Cartesian
2.0630 0.0000 1.3727 Y
6.1750 0.0000 4.6946 Y
5.1544 1.7922 1.3206 Er
-0.0185 0.0000 4.7468 Er
3.0837 1.7922 4.7467 Er
5.1544 -1.7922 1.3206 Er
8.2565 0.0000 1.3204 Er
3.0837 -1.7922 4.7467 Er
0.0000 0.0000 0.0000 C
3.0943 1.7874 0.0000 C
3.0943 -1.7874 0.0000 C
6.1886 0.0000 0.0000 C
```

The value obtained for the formation energy is -182 kJ/mol of formula units. As for the calculated volume: 22.37 A^3/atom. Its density of states at the Fermi level is 0.65 states/eV per atom. Its space group is No. 12.

---

Record 12
## YEr2C (PBE)

Data for an optimized crystal structure of YEr2C.

Geometry as POSCAR:
```
YEr2C
1.0
3.5139 0.0000 0.0000
-1.7569 3.0431 0.0000
0.0000 0.0000 28.6634
Y Er C
3 6 3
Cartesian
0.0000 0.0000 0.0000 Y
0.0000 2.0287 19.1090 Y
1.7569 1.0144 9.5545 Y
0.0000 0.0000 3.4508 Er
0.0000 0.0000 25.2126 Er
0.0000 2.0287 15.6581 Er
0.0000 2.0287 22.5598 Er
1.7569 1.0144 6.1036 Er
1.7569 1.0144 13.0053 Er
0.0000 0.0000 14.3317 C
0.0000 2.0287 4.7772 C
1.7569 1.0144 23.8862 C
```

The value obtained for the formation energy is -40 kJ/mol of formula units. As for the calculated volume: 25.54 A^3/atom. The polymorph energy (0 for the lowest one) is 0.448 eV/f.u. Its density of states at the Fermi level is 1.19 states/eV per atom. Its space group is No. 166.